BeAgIrAu: optimized geometry, PBE-GGA.

* magnetization: 0.0 μB per formula unit
* E: -38.0 eV for the cell shown
* DOS at the Fermi energy: 0.352 states/eV/atom
* distance to the lowest polymorph of the same formula: 0.08 eV/f.u.
* energy of formation: -0.3 eV/f.u.

a b c (Å): 4.9275 2.8427 8.4273
angles (deg): 90.00 90.11 90.00
With the nearest neighbours (Å) after each atom.
Space group Cm (No. 8)
Asymmetric unit:
1 Be 0.0000 0.0000 0.0000 (multiplicity 2)  3 Ir 2.29, 3 Au 2.49
2 Ag 0.4976 0.5000 0.5222 (multiplicity 2)  6 Ag 2.84, 3 Ir 2.93, 3 Au 3.00-3.02
3 Ir 0.1662 0.5000 0.8106 (multiplicity 2)  3 Be 2.29
4 Au 0.1671 0.5000 0.2226 (multiplicity 2)  3 Be 2.49